Record 1
Compound: Ho4Tm5Al
Source: Alexandria via LeMat-Bulk
Functional: PBE-GGA
Structure: optimized geometry

* energy of formation: -63 meV/atom
* V: 290 Å³ per cell
* DOS(E_F): 13.11 states/eV/f.u.
* total magnetic moment: 0.0001 μB per atom

Unit cell a=3.4913 b=3.4913 c=23.8283 alpha=90.00 beta=90.00 gamma=90.00
Closest atoms and distances in Å follow each position.
Space group P4/mmm (No. 123)
Symmetry-distinct sites (fractional):
Ho  0.0000  0.0000  0.1049 [2 per cell]  4 Ho 3.49, 8 Tm 3.51
Ho  0.0000  0.0000  0.3144 [2 per cell]  4 Ho 3.49, 8 Tm 3.51-3.54
Tm  0.5000  0.5000  0.0000 [1 per cell]  4 Tm 3.49, 8 Ho 3.51
Tm  0.5000  0.5000  0.2099 [2 per cell]  4 Tm 3.49, 8 Ho 3.51
Tm  0.5000  0.5000  0.4206 [2 per cell]  4 Al 3.11
Al  0.0000  0.0000  0.5000 [1 per cell]  8 Tm 3.11

Record 2
Compound: LaTaAl
Source: Alexandria via LeMat-Bulk
Functional: PBE-GGA
Structure: optimized geometry

* energy of formation: 297 meV/atom
* V: 69 Å³ per cell
* DOS(E_F): 3.30 states/eV/f.u.
* total magnetic moment: 0.0000 μB per atom

Unit cell a=4.9992 b=4.9992 c=3.1903 alpha=90.00 beta=90.00 gamma=120.00
Closest atoms and distances in Å follow each position.
Space group P-6m2 (No. 187)
Symmetry-distinct sites (fractional):
La  0.0000  0.0000  0.0000 [1 per cell]  2 La 3.19, 6 Ta 3.30, 6 Al 3.30
Ta  0.6667  0.3333  0.5000 [1 per cell]  3 Al 2.89, 2 Ta 3.19
Al  0.3333  0.6667  0.5000 [1 per cell]  3 Ta 2.89, 2 Al 3.19

Record 3
Compound: LiCaBe2
Source: Alexandria via LeMat-Bulk
Functional: PBE-GGA
Structure: optimized geometry

* energy of formation: 447 meV/atom
* V: 311 Å³ per cell
* DOS(E_F): 2.81 states/eV/f.u.
* total magnetic moment: 0.0000 μB per atom

Unit cell a=4.2324 b=4.2324 c=17.3467 alpha=90.00 beta=90.00 gamma=90.00
Closest atoms and distances in Å follow each position.
Space group I4_1/amd (No. 141, origin choice 2)
Symmetry-distinct sites (fractional):
Li  0.0000  0.2500  0.3750 [4 per cell]  4 Be 2.41
Ca  0.0000  0.2500  0.8750 [4 per cell]  4 Li 2.99, 8 Be 3.21
Be  0.0000  0.0000  0.5000 [8 per cell]  2 Be 2.12

Record 4
Compound: TiMnN2
Source: Alexandria via LeMat-Bulk
Functional: PBE-GGA
Structure: optimized geometry

* V: 151 Å³ per cell
* formation energy from raw total energies: -0.9510 eV per atom
* DOS(E_F): 1.52 states/eV/f.u.
* total magnetic moment: 0.8087 μB per atom

Unit cell a=4.2245 b=4.2245 c=8.4507 alpha=90.00 beta=90.00 gamma=90.00
Closest atoms and distances in Å follow each position.
Space group I4_1/amd (No. 141, origin choice 2)
Symmetry-distinct sites (fractional):
Ti  0.0000  0.2500  0.3750 [4 per cell]  6 N 2.10-2.11
Mn  0.0000  0.2500  0.8750 [4 per cell]  6 N 2.11-2.13
N  0.0000  0.2500  0.1267 [8 per cell]  3 Ti 2.10-2.11, 3 Mn 2.11-2.13

> The highest V belongs to which entry?

LiCaBe2

> The highest V belongs to which entry?

LiCaBe2

> Which formula does entry 1 have?

Ho4Tm5Al

> Among the records above, which one has the lowest DOS(E_F)?

TiMnN2